The following is a PBEsol calculation of a geometry-optimized LiMgTa2Sb structure, from Alexandria.

## Properties
* DOS(E_F): 0.722 states/eV per atom
* raw total energy: -5.73 eV/atom
* formation energy without anion corrections: 4.71 eV/f.u.
* symmetry: No. 123
* size of the total moment: 0.00 μB per formula unit
* volume: 89.8 Å³/f.u.

Lattice parameters (Å, degrees): 4.4852 4.4852 4.4661 90.00 90.00 90.00
Closest atoms and distances in Å follow each position.
Element x y z (fractional)
Li1 0.0000 0.0000 0.0000  2 Sb 2.23, 4 Ta 2.24
Mg1 0.5000 0.5000 0.5000  8 Ta 3.16, 4 Sb 3.17
Ta1 0.0000 0.5000 0.0000  2 Li 2.24
Ta2 0.5000 0.0000 0.0000  2 Li 2.24
Sb1 0.0000 0.0000 0.5000  2 Li 2.23